No. 1
Computed, not measured: a relaxed structure of BaNiAg2F8 at the PBE+U level of DFT.

```
BaNiAg2F8
1.0
5.506 0.000 0.000
-2.753 4.768 0.000
0.000 0.000 6.892
Ba Ni Ag F
1 1 2 8
direct
0.000 0.000 0.000
0.000 0.000 0.500
0.333 0.667 0.626
0.667 0.333 0.374
0.079 0.753 0.332
0.247 0.326 0.332
0.326 0.079 0.668
0.333 0.667 0.925
0.667 0.333 0.075
0.674 0.921 0.332
0.753 0.674 0.668
0.921 0.247 0.668
```

Properties
Total moment in μB per cell: 3.90
Energy in eV per cell: -48.47



No. 2
Computed, not measured: a relaxed structure of BaNiAg2F6 at the PBE+U level of DFT.

```
BaNiAg2F6
1.0
5.976 0.000 0.000
0.000 6.173 0.000
-5.630 0.000 8.713
Ba Ni Ag F
2 2 4 12
direct
0.000 0.000 0.000
0.000 0.500 0.500
0.500 0.000 0.500
0.500 0.500 0.000
0.273 0.063 0.753
0.273 0.437 0.253
0.727 0.563 0.747
0.727 0.937 0.247
0.155 0.080 0.289
0.155 0.420 0.789
0.292 0.660 0.069
0.292 0.840 0.569
0.436 0.222 0.082
0.436 0.278 0.582
0.564 0.722 0.418
0.564 0.778 0.918
0.708 0.160 0.431
0.708 0.340 0.931
0.845 0.580 0.211
0.845 0.920 0.711
```

Properties
Total moment in μB per cell: 3.99
Energy in eV per cell: -85.89



No. 3
Computed, not measured: a relaxed structure of Ba2Ni3AgF12 at the PBE+U level of DFT.

```
Ba2Ni3AgF12
1.0
3.629 2.095 5.737
-3.629 2.095 5.737
0.000 -4.190 5.737
Ba Ni Ag F
2 3 1 12
direct
0.112 0.112 0.112
0.888 0.888 0.888
0.000 0.500 0.500
0.500 0.000 0.500
0.500 0.500 0.000
0.500 0.500 0.500
0.084 0.635 0.635
0.211 0.211 0.630
0.211 0.630 0.211
0.365 0.365 0.916
0.365 0.916 0.365
0.370 0.789 0.789
0.630 0.211 0.211
0.635 0.084 0.635
0.635 0.635 0.084
0.789 0.370 0.789
0.789 0.789 0.370
0.916 0.365 0.365
```

Properties
Total moment in μB per cell: 6.49
Energy in eV per cell: -81.56



Please write out number 2 again, unchanged.
Computed, not measured: a relaxed structure of BaNiAg2F6 at the PBE+U level of DFT.

```
BaNiAg2F6
1.0
5.976 0.000 0.000
0.000 6.173 0.000
-5.630 0.000 8.713
Ba Ni Ag F
2 2 4 12
direct
0.000 0.000 0.000
0.000 0.500 0.500
0.500 0.000 0.500
0.500 0.500 0.000
0.273 0.063 0.753
0.273 0.437 0.253
0.727 0.563 0.747
0.727 0.937 0.247
0.155 0.080 0.289
0.155 0.420 0.789
0.292 0.660 0.069
0.292 0.840 0.569
0.436 0.222 0.082
0.436 0.278 0.582
0.564 0.722 0.418
0.564 0.778 0.918
0.708 0.160 0.431
0.708 0.340 0.931
0.845 0.580 0.211
0.845 0.920 0.711
```

Properties
Total moment in μB per cell: 3.99
Energy in eV per cell: -85.89